The following is a PBE-GGA calculation of KGeSe3 after structural relaxation, from Alexandria via LeMat-Bulk.

Summary:
Energy in eV/atom: -2.2098
Space group: No. 221

Lattice parameters (Å, degrees): 5.6654 5.6654 5.6654 90.00 90.00 90.00
Closest atoms and distances in Å follow each position.
Sites, in units of the cell vectors:
Ge  0.5000  0.5000  0.5000  12 Se 4.01
K  0.0000  0.0000  0.0000  6 Se 2.83
Se  0.0000  0.5000  0.0000  2 K 2.83
Se  0.0000  0.0000  0.5000  2 K 2.83
Se  0.5000  0.0000  0.0000  2 K 2.83

=====

The following is a PBE-GGA calculation of K2GeSe4 after structural relaxation, from Alexandria via LeMat-Bulk.

Summary:
Polymorph energy (0 for the lowest one) in eV per atom: 0.372
Space group: No. 139

Lattice parameters (Å, degrees): 5.2499 5.2499 8.8892 72.82 72.82 90.00
Closest atoms and distances in Å follow each position.
Sites, in units of the cell vectors:
Ge  0.0000  0.0000  0.0000  6 Se 2.39-2.62
K  0.3610  0.3610  0.2779  9 Se 3.44-3.72
K  0.6390  0.6390  0.7221  9 Se 3.44-3.72
Se  0.1482  0.1482  0.7036  1 Ge 2.39
Se  0.8518  0.8518  0.2964  1 Ge 2.39
Se  0.0000  0.5000  0.0000  2 Ge 2.62
Se  0.5000  0.0000  0.0000  2 Ge 2.62

=====

The following is a PBE-GGA calculation of K2GeSe2 after structural relaxation, from Alexandria via LeMat-Bulk.

Summary:
Polymorph energy (0 for the lowest one) in eV per atom: 0.282
Space group: No. 127

Lattice parameters (Å, degrees): 7.8158 7.8158 4.8080 90.00 90.00 90.00
Closest atoms and distances in Å follow each position.
Sites, in units of the cell vectors:
Ge  0.0000  0.0000  0.0000  4 Se 2.87
Ge  0.5000  0.5000  0.0000  4 Se 2.87
K  0.1390  0.6390  0.5000  1 K 3.07, 2 Se 3.14
K  0.6390  0.8610  0.5000  1 K 3.07, 2 Se 3.14
K  0.8610  0.3610  0.5000  1 K 3.07, 2 Se 3.14
K  0.3610  0.1390  0.5000  1 K 3.07, 2 Se 3.14
Se  0.3216  0.8216  0.0000  2 Ge 2.87, 2 K 3.14
Se  0.8216  0.6784  0.0000  2 Ge 2.87, 2 K 3.14
Se  0.6784  0.1784  0.0000  2 Ge 2.87, 2 K 3.14
Se  0.1784  0.3216  0.0000  2 Ge 2.87, 2 K 3.14

=====

The following is a PBE-GGA calculation of KGeSe2 after structural relaxation, from Alexandria via LeMat-Bulk.

Summary:
Energy in eV/atom: -3.8960
Space group: No. 62

Lattice parameters (Å, degrees): 7.1108 9.5086 15.2937 90.00 90.00 90.00
Closest atoms and distances in Å follow each position.
Sites, in units of the cell vectors:
K  0.2500  0.6613  0.6821  6 Se 3.45-3.66, 2 Ge 3.53-3.76
K  0.7500  0.3387  0.3179  6 Se 3.45-3.66, 2 Ge 3.53-3.76
K  0.2500  0.1613  0.8179  6 Se 3.45-3.66, 2 Ge 3.53-3.76
K  0.7500  0.8387  0.1821  6 Se 3.45-3.66, 2 Ge 3.53-3.76
K  0.2500  0.9711  0.3776  6 Se 3.39-3.60
K  0.7500  0.0289  0.6224  6 Se 3.39-3.60
K  0.2500  0.4711  0.1224  6 Se 3.39-3.60
K  0.7500  0.5289  0.8776  6 Se 3.39-3.60
Ge  0.7500  0.4121  0.5440  3 Se 2.52-2.54
Ge  0.7500  0.7475  0.4212  4 Se 2.32-2.43
Ge  0.2500  0.2525  0.5788  4 Se 2.32-2.43
Ge  0.7500  0.2475  0.0788  4 Se 2.32-2.43
Ge  0.2500  0.7525  0.9212  4 Se 2.32-2.43
Ge  0.7500  0.9121  0.9560  3 Se 2.52-2.54
Ge  0.2500  0.0879  0.0440  3 Se 2.52-2.54
Ge  0.2500  0.5879  0.4560  3 Se 2.52-2.54
Se  0.5090  0.8567  0.8399  2 Ge 2.43-2.52
Se  0.5090  0.3567  0.6601  2 Ge 2.43-2.52
Se  0.0090  0.6433  0.3399  2 Ge 2.43-2.52
Se  0.9910  0.8567  0.8399  2 Ge 2.43-2.52
Se  0.4910  0.1433  0.1601  2 Ge 2.43-2.52
Se  0.4910  0.6433  0.3399  2 Ge 2.43-2.52
Se  0.9910  0.3567  0.6601  2 Ge 2.43-2.52
Se  0.0090  0.1433  0.1601  2 Ge 2.43-2.52
Se  0.2500  0.5103  0.9024  1 Ge 2.32
Se  0.7500  0.4897  0.0976  1 Ge 2.32
Se  0.2500  0.0103  0.5976  1 Ge 2.32
Se  0.7500  0.6760  0.5714  2 Ge 2.40-2.54
Se  0.2500  0.8240  0.0714  2 Ge 2.40-2.54
Se  0.7500  0.1760  0.9286  2 Ge 2.40-2.54
Se  0.2500  0.3240  0.4286  2 Ge 2.40-2.54
Se  0.7500  0.9897  0.4024  1 Ge 2.32